VASP calculation (SCAN) on LiMnRh2 at its PBEsol-relaxed geometry.

Cell: 4.3956 4.3956 4.6635 Å, 100.22 100.22 35.72°
Positions (direct):
Li 0.0000 0.0000 0.0000
Mn 0.5000 0.5000 0.5000
Rh 0.2444 0.2444 0.7493
Rh 0.7556 0.7556 0.2507

**Calculated formation energy**: -0.251 eV per atom
**Final energy**: -22.298 eV/atom



VASP calculation (SCAN) on LiMnRh2 at its PBEsol-relaxed geometry.

Cell: 4.0994 4.0994 2.9330 Å, 90.00 90.00 90.00°
Positions (direct):
Li 0.0000 0.0000 0.0000
Mn 0.5000 0.5000 0.0000
Rh 0.0000 0.5000 0.5000
Rh 0.5000 0.0000 0.5000

**Calculated formation energy**: -0.308 eV per atom
**Final energy**: -22.355 eV/atom